Density functional theory data (PBE) for crystalline ScSbMo2 at its relaxed geometry.

```
ScSbMo2
1.0
3.0441 -0.0025 0.0000
-1.0586 2.8541 0.0000
0.0000 0.0000 8.7985
Sb Sc Mo
1 1 2
direct
0.0000 0.0000 0.4876
0.5000 0.5000 0.7663
0.0000 0.0000 0.0148
0.5000 0.5000 0.2312
```

Properties
- Raw formation energy: 0.14 eV per atom

***

Density functional theory data (PBE) for crystalline ScSbMo2 at its relaxed geometry.

```
ScSbMo2
1.0
-0.6778 -0.5017 3.4215
3.2436 -1.2998 0.4520
2.0362 5.5020 1.2102
Sc Sb Mo
1 1 2
direct
0.5000 0.5000 0.7500
0.5000 0.5000 0.2500
0.0000 0.0000 0.0275
0.0000 0.0000 0.4725
```

Properties
- Raw formation energy: 0.11 eV per atom

***

Density functional theory data (PBE) for crystalline ScSbMo2 at its relaxed geometry.

```
ScSbMo2
1.0
-2.0768 2.7162 -4.2004
1.6767 -1.3906 -4.9588
-1.8845 -2.5349 4.3997
Mo Sc Sb
2 1 1
direct
0.5000 0.5000 0.0000
0.0000 0.0000 0.0000
0.7500 0.2500 0.5000
0.2500 0.7500 0.5000
```

Properties
- Raw formation energy: 0.07 eV per atom

***

Density functional theory data (PBE) for crystalline ScSbMo2 at its relaxed geometry.

```
ScSbMo2
1.0
-2.6007 -0.5418 -4.7144
3.6503 -3.8090 1.2038
-1.7693 -2.3931 0.5476
Mo Sc Sb
2 1 1
direct
0.0000 0.0000 0.0000
0.5000 0.5000 0.0000
0.0000 0.5000 0.5000
0.5000 0.0000 0.5000
```

Properties
- Raw formation energy: 0.17 eV per atom

***

Density functional theory data (PBE) for crystalline ScSiSbMo2 at its relaxed geometry.

```
ScSiSbMo2
1.0
-1.4244 -2.3252 -3.9751
3.9122 -2.7273 0.1935
-2.3657 -3.2005 2.7198
Mo Sc Si Sb
2 1 1 1
direct
0.5000 0.0000 0.0000
0.0000 0.0000 0.5000
0.0000 0.0000 0.0000
0.0000 0.5000 0.0000
0.5000 0.5000 0.5000
```

Properties
- Raw formation energy: 1.58 eV per atom

***

Density functional theory data (PBE) for crystalline ScSb2TeMo at its relaxed geometry.

```
ScSb2TeMo
1.0
-1.1578 -1.8609 4.6468
1.0030 -5.2175 -1.8396
4.9210 0.4501 1.4063
Te Sc Sb Mo
1 1 2 1
direct
0.0000 0.5000 0.0000
0.5000 0.5000 0.5000
0.0000 0.0000 0.5000
0.5000 0.0000 0.0000
0.0000 0.0000 0.0000
```

Properties
- Raw formation energy: 0.45 eV per atom

***

Density functional theory data (PBE) for crystalline SbMo2Se at its relaxed geometry.

```
SbMo2Se
1.0
-0.9515 2.7042 -1.2908
-5.1372 -1.0892 1.5050
-2.8333 1.2065 4.6163
Mo Sb Se
2 1 1
direct
0.0000 0.0000 0.0000
0.5000 0.5000 0.0000
0.5000 0.5000 0.5000
0.0000 0.0000 0.5000
```

Properties
- Raw formation energy: 0.33 eV per atom

***

Density functional theory data (PBE) for crystalline SbMo2Se at its relaxed geometry.

```
SbMo2Se
1.0
3.2027 -0.0129 0.0000
-1.5876 2.7815 0.0000
0.0000 0.0000 8.3833
Mo Sb Se
2 1 1
direct
0.0000 0.0000 0.9840
0.0000 0.0000 0.5160
0.5000 0.5000 0.2500
0.5000 0.5000 0.7500
```

Properties
- Raw formation energy: 0.59 eV per atom

***

Density functional theory data (PBE) for crystalline SbMo2Se at its relaxed geometry.

```
SbMo2Se
1.0
4.8740 0.0025 0.0063
-2.2252 4.7521 0.0006
0.4237 1.2478 3.2139
Sb Se Mo
1 1 2
direct
0.0000 0.5000 0.5000
0.5000 0.5000 0.0000
0.5000 0.0000 0.5000
0.0000 0.0000 0.0000
```

Properties
- Raw formation energy: 0.60 eV per atom

***

Density functional theory data (PBE) for crystalline SbMo2Se at its relaxed geometry.

```
SbMo2Se
1.0
3.3567 0.0000 0.0000
0.0000 3.4322 -0.0073
0.0000 0.0191 6.7288
Se Mo Sb
1 2 1
direct
0.5000 0.7500 0.7500
0.0000 0.7503 0.0309
0.0000 0.7497 0.4691
0.5000 0.2500 0.2500
```

Properties
- Raw formation energy: 0.30 eV per atom

***

Density functional theory data (PBE) for crystalline SbMo2Se at its relaxed geometry.

```
SbMo2Se
1.0
-1.1180 3.6108 2.2776
-2.6414 3.5004 -0.4954
-4.8010 -1.6983 2.7051
Mo Sb Se
2 1 1
direct
0.5050 0.5050 0.4499
0.9950 0.9950 0.0501
0.7500 0.7500 0.7500
0.2500 0.2500 0.2500
```

Properties
- Raw formation energy: 0.27 eV per atom

***

Density functional theory data (PBE) for crystalline SbMo2Se at its relaxed geometry.

```
SbMo2Se
1.0
4.7280 0.0000 0.0000
0.0000 3.2179 -0.0160
0.0000 0.0213 4.8240
Sb Se Mo
1 1 2
direct
0.0000 0.3748 0.4958
0.5000 0.8751 0.7945
0.5000 0.3753 0.1977
0.0000 0.8748 0.0120
```

Properties
- Raw formation energy: 0.08 eV per atom

***

Density functional theory data (PBE) for crystalline SbMo2Se at its relaxed geometry.

```
SbMo2Se
1.0
8.3718 0.0005 0.0003
7.7731 3.1093 0.0003
7.7731 1.4972 2.7250
Mo Sb Se
2 1 1
direct
0.9943 0.9943 0.9943
0.5057 0.5057 0.5057
0.7500 0.7500 0.7500
0.2500 0.2500 0.2500
```

Properties
- Raw formation energy: 0.29 eV per atom

***

Density functional theory data (PBE) for crystalline SbMoSe4 at its relaxed geometry.

```
SbMoSe4
1.0
0.0000 4.0404 4.0404
4.0404 0.0000 4.0404
4.0404 4.0404 0.0000
Sb Se Mo
1 4 1
direct
0.0000 0.0000 0.0000
0.3763 0.8712 0.3763
0.3763 0.3763 0.3763
0.3763 0.3763 0.8712
0.8712 0.3763 0.3763
0.7500 0.7500 0.7500
```

Properties
- Raw formation energy: 0.97 eV per atom

***

Density functional theory data (PBE) for crystalline SbMo2Se at its relaxed geometry.

```
SbMo2Se
1.0
4.6114 0.0000 0.0000
0.0000 4.6114 0.0000
0.0000 0.0000 3.2208
Se Mo Sb
1 2 1
direct
0.0000 0.5000 0.5000
0.5000 0.5000 0.0000
0.0000 0.0000 0.0000
0.5000 0.0000 0.5000
```

Properties
- Raw formation energy: 0.24 eV per atom

***

Density functional theory data (PBE) for crystalline SbMo2Se at its relaxed geometry.

```
SbMo2Se
1.0
-2.4856 1.8893 0.0013
-1.8088 -2.3791 -0.9030
-1.4707 -1.9404 8.0581
Se Mo Sb
1 2 1
direct
0.5000 0.5000 0.8439
0.0000 0.0000 0.0034
0.5000 0.5000 0.2121
0.0000 0.0000 0.4406
```

Properties
- Raw formation energy: 0.03 eV per atom

***

Density functional theory data (PBE) for crystalline SbMo2Se at its relaxed geometry.

```
SbMo2Se
1.0
1.4231 -0.2558 4.3652
-3.0743 -0.2884 3.4075
-0.4710 -3.9271 2.3455
Mo Sb Se
2 1 1
direct
0.2500 0.2500 0.2500
0.7500 0.7500 0.7500
0.5000 0.5000 0.5000
0.0000 0.0000 0.0000
```

Properties
- Raw formation energy: 0.26 eV per atom

***

Density functional theory data (PBE) for crystalline Sb3MoSe at its relaxed geometry.

```
Sb3MoSe
1.0
-1.2279 -2.9172 4.1014
4.8603 -1.7840 0.1861
1.3075 3.8918 3.1596
Sb Mo Se
3 1 1
direct
0.0000 0.0000 0.5000
0.0000 0.5000 0.0000
0.5000 0.0000 0.0000
0.0000 0.0000 0.0000
0.5000 0.5000 0.5000
```

Properties
- Raw formation energy: 0.37 eV per atom

***

Density functional theory data (PBE) for crystalline SbMo2Se at its relaxed geometry.

```
SbMo2Se
1.0
-4.4283 1.4868 -0.3420
-1.9650 0.5554 -4.2152
-3.3544 -2.9414 -1.4261
Mo Sb Se
2 1 1
direct
0.7500 0.7500 0.7500
0.0000 0.0000 0.0000
0.5000 0.5000 0.5000
0.2500 0.2500 0.2500
```

Properties
- Raw formation energy: 0.67 eV per atom

***

Density functional theory data (PBE) for crystalline SbMo2Se at its relaxed geometry.

```
SbMo2Se
1.0
4.4124 0.0000 0.0000
0.0000 4.4124 0.0000
2.2062 2.2062 8.5450
Mo Se Sb
4 2 2
direct
0.8750 0.7991 0.7500
0.5491 0.1250 0.2500
0.2009 0.6250 0.2500
0.3750 0.4509 0.7500
0.2500 0.7500 0.5000
0.5000 0.5000 0.0000
0.7500 0.2500 0.5000
0.0000 0.0000 0.0000
```

Properties
- Raw formation energy: 0.53 eV per atom